Below is a PBEsol-optimized structure of InFeBr2, with properties calculated at the SCAN level.

Formation energy from raw total energies   -0.235 eV/atom
ΔE to the lowest computed polymorph   0.0836 eV per atom
Magnetization   3.49 μB/f.u.

Cell: 3.5262 6.0764 9.1549 Å, 90.00 90.00 90.00°
Space group Cmmm (No. 65)
Unique sites:
In1 0.0000 0.0000 0.0000 [2 per cell]
Fe1 0.0000 0.0000 0.5000 [2 per cell]
Br1 0.0000 0.5000 0.3079 [4 per cell]



Below is a PBEsol-optimized structure of In2FeBr, with properties calculated at the SCAN level.

Formation energy from raw total energies   0.091 eV/atom
Magnetization   3.19 μB/f.u.

Cell: 3.1051 3.1051 9.1564 Å, 90.00 90.00 90.00°
Space group P4mm (No. 99)
Unique sites:
In1 0.0000 0.0000 0.0000 [1 per cell]
In2 0.5000 0.5000 0.2836 [1 per cell]
Fe1 0.5000 0.5000 0.7910 [1 per cell]
Br1 0.0000 0.0000 0.6331 [1 per cell]



Below is a PBEsol-optimized structure of InFe2Br, with properties calculated at the SCAN level.

Formation energy from raw total energies   0.606 eV/atom
ΔE to the lowest computed polymorph   0.4820 eV per atom
Magnetization   5.20 μB/f.u.

Cell: 4.5749 4.5749 3.0921 Å, 90.00 90.00 90.00°
Space group P4/mmm (No. 123)
Unique sites:
In1 0.0000 0.0000 0.0000 [1 per cell]
Fe1 0.0000 0.5000 0.5000 [2 per cell]
Br1 0.5000 0.5000 0.0000 [1 per cell]



Below is a PBEsol-optimized structure of InFe2Br, with properties calculated at the SCAN level.

Formation energy from raw total energies   0.563 eV/atom
ΔE to the lowest computed polymorph   0.4390 eV per atom
Magnetization   5.70 μB/f.u.

Cell: 3.0188 4.3547 5.2574 Å, 90.00 90.00 90.00°
Space group Pmmm (No. 47)
Unique sites:
In1 0.0000 0.0000 0.0000 [1 per cell]
Fe1 0.0000 0.5000 0.5000 [1 per cell]
Fe2 0.5000 0.5000 0.0000 [1 per cell]
Br1 0.5000 0.0000 0.5000 [1 per cell]



Below is a PBEsol-optimized structure of InFeBr2, with properties calculated at the SCAN level.

Formation energy from raw total energies   -0.318 eV/atom
ΔE to the lowest computed polymorph   0.0000 eV per atom
Magnetization   3.27 μB/f.u.

Cell: 10.1027 3.4684 6.6870 Å, 90.00 114.80 90.00°
Space group Cm (No. 8)
Unique sites:
In1 0.0000 0.0000 0.0000 [2 per cell]
Fe1 0.2229 0.5000 0.9978 [2 per cell]
Br1 0.1690 0.0000 0.7017 [2 per cell]
Br2 0.3336 0.0000 0.2937 [2 per cell]



Below is a PBEsol-optimized structure of Fe2IrBr, with properties calculated at the SCAN level.

Formation energy from raw total energies   0.530 eV/atom
ΔE to the lowest computed polymorph   0.0000 eV per atom
Magnetization   6.71 μB/f.u.

Cell: 2.8597 4.6954 8.9791 Å, 90.00 90.00 90.00°
Space group Cmm2 (No. 35)
Unique sites:
Fe1 0.0000 0.0000 0.0000 [2 per cell]
Fe2 0.0000 0.5000 0.2106 [2 per cell]
Ir1 0.0000 0.5000 0.7762 [2 per cell]
Br1 0.0000 0.0000 0.4428 [2 per cell]



Below is a PBEsol-optimized structure of Fe2IrBr, with properties calculated at the SCAN level.

Formation energy from raw total energies   0.838 eV/atom
ΔE to the lowest computed polymorph   0.3076 eV per atom
Magnetization   7.21 μB/f.u.

Cell: 6.0851 6.0851 6.0851 Å, 90.00 90.00 90.00°
Space group F-43m (No. 216)
Unique sites:
Fe1 0.0000 0.0000 0.0000 [4 per cell]
Fe2 0.2500 0.2500 0.2500 [4 per cell]
Ir1 0.0000 0.0000 0.5000 [4 per cell]
Br1 0.2500 0.2500 0.7500 [4 per cell]



Below is a PBEsol-optimized structure of FeIr2Br, with properties calculated at the SCAN level.

Formation energy from raw total energies   0.728 eV/atom
ΔE to the lowest computed polymorph   0.0349 eV per atom
Magnetization   3.56 μB/f.u.

Cell: 2.8706 4.5418 4.6041 Å, 90.00 90.41 90.00°
Space group P2/m (No. 10)
Unique sites:
Fe1 0.0000 0.0000 0.0000 [1 per cell]
Ir1 0.2430 0.5000 0.2423 [2 per cell]
Br1 0.5000 0.0000 0.5000 [1 per cell]



Below is a PBEsol-optimized structure of Fe3IrBr, with properties calculated at the SCAN level.

Formation energy from raw total energies   0.937 eV/atom
Magnetization   10.95 μB/f.u.

Cell: 4.6599 4.6599 4.6599 Å, 90.00 90.00 90.00°
Space group Pm-3m (No. 221)
Unique sites:
Fe1 0.0000 0.0000 0.5000 [3 per cell]
Ir1 0.0000 0.0000 0.0000 [1 per cell]
Br1 0.5000 0.5000 0.5000 [1 per cell]



Below is a PBEsol-optimized structure of FeIr2Br, with properties calculated at the SCAN level.

Formation energy from raw total energies   0.693 eV/atom
ΔE to the lowest computed polymorph   0.0000 eV per atom
Magnetization   3.51 μB/f.u.

Cell: 2.7520 4.1461 10.8231 Å, 90.00 90.00 90.00°
Space group Immm (No. 71)
Unique sites:
Fe1 0.0000 0.0000 0.0000 [2 per cell]
Ir1 0.0000 0.5000 0.2909 [4 per cell]
Br1 0.0000 0.0000 0.5000 [2 per cell]



Below is a PBEsol-optimized structure of NaFeIrBr2, with properties calculated at the SCAN level.

Formation energy from raw total energies   0.209 eV/atom
Magnetization   3.74 μB/f.u.

Cell: 5.1754 5.1754 4.6605 Å, 90.00 90.00 90.00°
Space group P4/mmm (No. 123)
Unique sites:
Na1 0.0000 0.0000 0.0000 [1 per cell]
Fe1 0.5000 0.5000 0.0000 [1 per cell]
Ir1 0.5000 0.5000 0.5000 [1 per cell]
Br1 0.0000 0.5000 0.5000 [2 per cell]



Below is a PBEsol-optimized structure of FeIrRu2Br, with properties calculated at the SCAN level.

Formation energy from raw total energies   1.435 eV/atom
Magnetization   6.23 μB/f.u.

Cell: 4.6675 4.6675 4.6660 Å, 90.00 90.00 90.00°
Space group P4/mmm (No. 123)
Unique sites:
Fe1 0.0000 0.0000 0.0000 [1 per cell]
Ir1 0.0000 0.0000 0.5000 [1 per cell]
Ru1 0.0000 0.5000 0.5000 [2 per cell]
Br1 0.5000 0.5000 0.0000 [1 per cell]



Below is a PBEsol-optimized structure of Fe2IrWBr, with properties calculated at the SCAN level.

Formation energy from raw total energies   1.824 eV/atom
Magnetization   4.55 μB/f.u.

Cell: 4.1485 4.1485 4.6095 Å, 90.00 90.00 90.00°
Space group P4/mmm (No. 123)
Unique sites:
Fe1 0.0000 0.5000 0.0000 [2 per cell]
Ir1 0.0000 0.0000 0.5000 [1 per cell]
W1 0.5000 0.5000 0.5000 [1 per cell]
Br1 0.5000 0.5000 0.0000 [1 per cell]



Below is a PBEsol-optimized structure of K2FeBr, with properties calculated at the SCAN level.

Formation energy from raw total energies   -0.179 eV/atom
ΔE to the lowest computed polymorph   0.0382 eV per atom
Magnetization   3.00 μB/f.u.

Cell: 5.5978 5.7754 8.0600 Å, 90.00 90.00 90.00°
Space group Immm (No. 71)
Unique sites:
K1 0.0000 0.0000 0.2490 [4 per cell]
Fe1 0.0000 0.5000 0.5000 [2 per cell]
Br1 0.0000 0.5000 0.0000 [2 per cell]



Below is a PBEsol-optimized structure of KFe2Br, with properties calculated at the SCAN level.

Formation energy from raw total energies   0.545 eV/atom
ΔE to the lowest computed polymorph   0.0831 eV per atom
Magnetization   6.68 μB/f.u.

Cell: 3.9151 3.9151 12.2363 Å, 90.00 90.00 90.00°
Space group I4/mmm (No. 139)
Unique sites:
K1 0.0000 0.0000 0.0000 [2 per cell]
Fe1 0.0000 0.5000 0.2500 [4 per cell]
Br1 0.0000 0.0000 0.5000 [2 per cell]



Below is a PBEsol-optimized structure of K2FeBr, with properties calculated at the SCAN level.

Formation energy from raw total energies   -0.029 eV/atom
ΔE to the lowest computed polymorph   0.1882 eV per atom
Magnetization   3.00 μB/f.u.

Cell: 4.6177 4.6177 12.5973 Å, 90.00 90.00 90.00°
Space group I-4m2 (No. 119)
Unique sites:
K1 0.0000 0.0000 0.0000 [2 per cell]
K2 0.0000 0.5000 0.2500 [2 per cell]
Fe1 0.0000 0.5000 0.7500 [2 per cell]
Br1 0.0000 0.0000 0.5000 [2 per cell]



Below is a PBEsol-optimized structure of K2FeBr, with properties calculated at the SCAN level.

Formation energy from raw total energies   -0.217 eV/atom
ΔE to the lowest computed polymorph   0.0000 eV per atom
Magnetization   3.14 μB/f.u.

Cell: 7.4631 4.0925 9.2869 Å, 90.00 103.98 90.00°
Space group C2/m (No. 12)
Unique sites:
K1 0.2434 0.0000 0.2297 [4 per cell]
Fe1 0.0000 0.0000 0.5000 [2 per cell]
Br1 0.0000 0.5000 0.0000 [2 per cell]



Below is a PBEsol-optimized structure of KFe2Br, with properties calculated at the SCAN level.

Formation energy from raw total energies   0.462 eV/atom
ΔE to the lowest computed polymorph   0.0000 eV per atom
Magnetization   6.53 μB/f.u.

Cell: 3.2188 5.9544 4.8981 Å, 90.00 91.61 90.00°
Space group P2/m (No. 10)
Unique sites:
K1 0.0000 0.0000 0.0000 [1 per cell]
Fe1 0.2785 0.5000 0.1755 [2 per cell]
Br1 0.5000 0.0000 0.5000 [1 per cell]



Below is a PBEsol-optimized structure of KFeBr4, with properties calculated at the SCAN level.

Formation energy from raw total energies   -1.142 eV/atom
Magnetization   4.99 μB/f.u.

Cell: 7.5871 10.2220 10.2048 Å, 90.00 90.00 90.00°
Space group Pnna (No. 52)
Unique sites:
K1 0.1695 0.2500 0.2500 [4 per cell]
Fe1 0.2500 0.0000 0.6817 [4 per cell]
Br1 0.0078 0.0451 0.8156 [8 per cell]
Br2 0.1749 0.6793 0.9466 [8 per cell]



Below is a PBEsol-optimized structure of KNaFeBr2, with properties calculated at the SCAN level.

Formation energy from raw total energies   -0.424 eV/atom
Magnetization   4.00 μB/f.u.

Cell: 5.5434 5.5434 5.3356 Å, 90.00 90.00 90.00°
Space group P4/mmm (No. 123)
Unique sites:
K1 0.0000 0.0000 0.0000 [1 per cell]
Na1 0.5000 0.5000 0.5000 [1 per cell]
Fe1 0.5000 0.5000 0.0000 [1 per cell]
Br1 0.0000 0.5000 0.5000 [2 per cell]



Below is a PBEsol-optimized structure of La2FeBr, with properties calculated at the SCAN level.

Formation energy from raw total energies   -0.192 eV/atom
ΔE to the lowest computed polymorph   0.3850 eV per atom
Magnetization   1.45 μB/f.u.

Cell: 4.1094 4.1094 11.0986 Å, 90.00 90.00 90.00°
Space group I-4m2 (No. 119)
Unique sites:
La1 0.0000 0.0000 0.0000 [2 per cell]
La2 0.0000 0.5000 0.2500 [2 per cell]
Fe1 0.0000 0.5000 0.7500 [2 per cell]
Br1 0.0000 0.0000 0.5000 [2 per cell]



Below is a PBEsol-optimized structure of La2FeBr, with properties calculated at the SCAN level.

Formation energy from raw total energies   -0.574 eV/atom
ΔE to the lowest computed polymorph   0.0030 eV per atom
Magnetization   0.35 μB/f.u.

Cell: 3.4517 3.4342 8.0350 Å, 90.00 94.92 90.00°
Space group P2/m (No. 10)
Unique sites:
La1 0.0797 0.0000 0.2913 [2 per cell]
Fe1 0.5000 0.5000 0.5000 [1 per cell]
Br1 0.5000 0.5000 0.0000 [1 per cell]



Below is a PBEsol-optimized structure of La2FeBr, with properties calculated at the SCAN level.

Formation energy from raw total energies   -0.577 eV/atom
ΔE to the lowest computed polymorph   0.0000 eV per atom
Magnetization   0.47 μB/f.u.

Cell: 4.3451 5.4257 8.1486 Å, 90.00 90.00 90.00°
Space group Cmmm (No. 65)
Unique sites:
La1 0.0000 0.0000 0.2033 [4 per cell]
Fe1 0.0000 0.5000 0.0000 [2 per cell]
Br1 0.0000 0.5000 0.5000 [2 per cell]



Below is a PBEsol-optimized structure of La2FeBr, with properties calculated at the SCAN level.

Formation energy from raw total energies   -0.518 eV/atom
ΔE to the lowest computed polymorph   0.0595 eV per atom
Magnetization   0.00 μB/f.u.

Cell: 4.2037 4.2037 5.9647 Å, 90.00 90.00 90.00°
Space group P4mm (No. 99)
Unique sites:
La1 0.0000 0.0000 0.0000 [1 per cell]
La2 0.5000 0.5000 0.4116 [1 per cell]
Fe1 0.5000 0.5000 0.0536 [1 per cell]
Br1 0.0000 0.0000 0.5040 [1 per cell]



Below is a PBEsol-optimized structure of Li2FeBr, with properties calculated at the SCAN level.

Formation energy from raw total energies   -0.084 eV/atom
ΔE to the lowest computed polymorph   0.0722 eV per atom
Magnetization   3.00 μB/f.u.

Cell: 4.3786 4.3786 3.3152 Å, 90.00 90.00 90.00°
Space group P4/mmm (No. 123)
Unique sites:
Li1 0.0000 0.5000 0.0000 [2 per cell]
Fe1 0.0000 0.0000 0.5000 [1 per cell]
Br1 0.5000 0.5000 0.5000 [1 per cell]



Below is a PBEsol-optimized structure of Li2FeBr, with properties calculated at the SCAN level.

Formation energy from raw total energies   0.192 eV/atom
ΔE to the lowest computed polymorph   0.3477 eV per atom
Magnetization   2.99 μB/f.u.

Cell: 6.5507 6.5507 6.5507 Å, 90.00 90.00 90.00°
Space group Fm-3m (No. 225)
Unique sites:
Li1 0.2500 0.2500 0.2500 [8 per cell]
Fe1 0.0000 0.0000 0.0000 [4 per cell]
Br1 0.0000 0.0000 0.5000 [4 per cell]



Below is a PBEsol-optimized structure of Li2FeBr, with properties calculated at the SCAN level.

Formation energy from raw total energies   -0.156 eV/atom
ΔE to the lowest computed polymorph   0.0000 eV per atom
Magnetization   3.07 μB/f.u.

Cell: 3.1774 3.2931 14.1009 Å, 90.00 90.00 90.00°
Space group Imm2 (No. 44)
Unique sites:
Li1 0.0000 0.0000 0.0000 [2 per cell]
Li2 0.0000 0.5000 0.2263 [2 per cell]
Fe1 0.0000 0.0000 0.3877 [2 per cell]
Br1 0.0000 0.5000 0.6473 [2 per cell]



Below is a PBEsol-optimized structure of Li4FeBr, with properties calculated at the SCAN level.

Formation energy from raw total energies   0.238 eV/atom
Magnetization   3.15 μB/f.u.

Cell: 7.5429 7.5429 7.5429 Å, 90.00 90.00 90.00°
Space group F-43m (No. 216)
Unique sites:
Li1 0.1239 0.1239 0.3761 [16 per cell]
Fe1 0.2500 0.2500 0.7500 [4 per cell]
Br1 0.0000 0.0000 0.0000 [4 per cell]



Below is a PBEsol-optimized structure of LiSc2FeBr, with properties calculated at the SCAN level.

Formation energy from raw total energies   0.631 eV/atom
Magnetization   0.12 μB/f.u.

Cell: 4.9354 4.9354 4.1223 Å, 90.00 90.00 90.00°
Space group P4/mmm (No. 123)
Unique sites:
Li1 0.0000 0.0000 0.0000 [1 per cell]
Sc1 0.0000 0.5000 0.0000 [2 per cell]
Fe1 0.5000 0.5000 0.5000 [1 per cell]
Br1 0.0000 0.0000 0.5000 [1 per cell]